MnAsSe2O: optimized geometry, PBE+U.

Structure (POSCAR):
```
MnAsSe2O
1.0
-1.389 -0.804 4.302
-3.933 -1.749 -1.597
1.808 -3.929 -0.150
Se O Mn As
2 1 1 1
Cartesian
-0.695 -0.402 2.151
-1.967 -0.875 -0.799
0.000 0.000 0.000
-1.757 -3.241 1.277
0.904 -1.964 -0.075
```

Output
The calculation puts the energy relative to the lowest polymorph listed for this composition at 0 meV/atom. The space group is No. 123. Its total energy is -22.6 eV/f.u. As for the volume: 18.246 Å³/atom. The value obtained for the total moment is 4.17 μB/f.u.